Entry 1:
Here is a relaxed Pu2AlGa2Rh5 crystal from Alexandria. Energies are from GGA-PBE.

Properties
Spin magnetization: 10.46 μB per formula unit
Space group: No. 127
ΔE_f: -598.3 meV/atom

Lattice parameters (Å, degrees): 3.1522 10.3331 10.3331 90.00 90.00 90.00
Last column: magnetic moment on the atom in μB.
Fractional coordinates of all 20 atoms:
Pu1 0.0000 0.6724 0.1724  5.17
Pu2 0.0000 0.3276 0.8276  5.17
Pu3 0.0000 0.1724 0.3276  5.17
Pu4 0.0000 0.8276 0.6724  5.17
Al1 0.0000 0.0000 0.0000  -0.01
Al2 0.0000 0.5000 0.5000  -0.01
Ga1 0.0000 0.1314 0.6314  0.01
Ga2 0.0000 0.8686 0.3686  0.01
Ga3 0.0000 0.6314 0.8686  0.01
Ga4 0.0000 0.3686 0.1314  0.01
Rh1 0.5000 0.1948 0.0553  -0.07
Rh2 0.5000 0.8052 0.9447  -0.07
Rh3 0.5000 0.0553 0.8052  -0.07
Rh4 0.5000 0.6948 0.4447  -0.07
Rh5 0.5000 0.9447 0.1948  -0.07
Rh6 0.5000 0.3052 0.5553  -0.07
Rh7 0.5000 0.5553 0.6948  -0.07
Rh8 0.5000 0.4447 0.3052  -0.07
Rh9 0.5000 0.5000 0.0000  -0.05
Rh10 0.5000 0.0000 0.5000  -0.05

***

Entry 2:
Here is a relaxed Tb3Tm2In7 crystal from Alexandria. Energies are from GGA-PBE.

Properties
Spin magnetization: 1.06 μB per formula unit
Space group: No. 65
ΔE_f: -221.4 meV/atom

Lattice parameters (Å, degrees): 4.7157 4.8184 15.1333 99.16 90.00 90.00
Last column: magnetic moment on the atom in μB.
Fractional coordinates of all 12 atoms:
Tb1 0.5000 0.5000 0.0000  0.01
Tb2 0.5000 0.6482 0.2965  0.20
Tb3 0.5000 0.3518 0.7035  0.20
Tm1 0.0000 0.8420 0.6841  0.21
Tm2 0.0000 0.1580 0.3159  0.21
In1 0.0000 0.4226 0.8452  0.00
In2 0.0000 0.7255 0.4510  0.00
In3 0.0000 0.0000 0.0000  0.01
In4 0.0000 0.5774 0.1548  0.00
In5 0.5000 0.0784 0.1568  0.00
In6 0.5000 0.9216 0.8432  0.00
In7 0.0000 0.2745 0.5490  0.00

***

Entry 3:
Here is a relaxed Nd2HoPaBi4 crystal from Alexandria. Energies are from GGA-PBE.

Properties
Spin magnetization: 1.03 μB per formula unit
Space group: No. 10
ΔE_f: -695.5 meV/atom

Lattice parameters (Å, degrees): 4.5296 7.8526 7.8806 109.26 90.00 90.00
Last column: magnetic moment on the atom in μB.
Fractional coordinates of all 8 atoms:
Nd1 0.5000 0.0000 0.5000  0.02
Nd2 0.0000 0.5000 0.5000  0.01
Ho1 0.0000 0.0000 0.0000  0.00
Pa1 0.5000 0.5000 0.0000  0.90
Bi1 0.5000 0.2468 0.2396  -0.01
Bi2 0.5000 0.7532 0.7604  -0.01
Bi3 0.0000 0.2518 0.7586  -0.02
Bi4 0.0000 0.7482 0.2414  -0.02

***

Entry 4:
Here is a relaxed Al3Si2Tc2 crystal from Alexandria. Energies are from GGA-PBE.

Properties
Spin magnetization: 0.00 μB per formula unit
Space group: No. 71
Energy relative to the elements, uncorrected: -267 meV/atom

Lattice parameters (Å, degrees): 3.0760 3.9997 8.7334 103.24 100.15 90.00
Fractional coordinates of all 7 atoms:
Al1 0.0000 0.0000 0.0000
Al2 0.2635 0.2634 0.5268
Al3 0.7365 0.7366 0.4732
Si1 0.0955 0.5958 0.1916
Si2 0.9045 0.4042 0.8084
Tc1 0.3675 0.8669 0.7339
Tc2 0.6325 0.1331 0.2661

***

Entry 5:
Here is a relaxed Tl2GaHgH crystal from Alexandria. Energies are from GGA-PBE.

Properties
Spin magnetization: 0.00 μB per formula unit
Space group: No. 123
E above lowest polymorph: 0.000 eV/atom

Lattice parameters (Å, degrees): 5.7506 5.7506 3.5127 90.00 90.00 90.00
Fractional coordinates of all 5 atoms:
H1 0.0000 0.0000 0.5000
Tl1 0.0000 0.5000 0.0000
Tl2 0.5000 0.0000 0.0000
Hg1 0.5000 0.5000 0.5000
Ga1 0.0000 0.0000 0.0000

***

Entry 6:
Here is a relaxed ZnCd2Ag2 crystal from Alexandria. Energies are from GGA-PBE.

Properties
Spin magnetization: 0.00 μB per formula unit
Space group: No. 139
ΔE_f: 217.4 meV/atom
E above lowest polymorph: 0.223 eV/atom

Lattice parameters (Å, degrees): 3.8792 3.8792 7.6443 75.30 75.30 90.00
Fractional coordinates of all 5 atoms:
Zn1 0.0000 0.0000 0.0000
Ag1 0.4061 0.4061 0.1879
Ag2 0.5939 0.5939 0.8121
Cd1 0.7500 0.2500 0.5000
Cd2 0.2500 0.7500 0.5000